# NaMoRuO6

A relaxed NaMoRuO6 crystal (PBE with a Hubbard U, Alexandria).

Uncorrected energy ... -59.192 eV for the cell shown

Cell: 5.2364 5.2364 5.1925 Å, 90.00 90.00 120.00°
Space group P3 (No. 143)
Symmetry-distinct sites (fractional):
Na 0.0000 0.0000 0.0000 x1
Mo 0.3333 0.6667 0.4743 x1
Ru 0.6667 0.3333 0.5417 x1
O 0.0026 0.6339 0.3078 x3
O 0.0062 0.3861 0.7232 x3